A:
DFT (GGA-PBE) results for LaBePt3 after structural relaxation.

It has space group P4mm (No. 99), with a = 4.105 Å, b = 4.105 Å, c = 5.289 Å, α = 90.00°, β = 90.00° and γ = 90.00°. The asymmetric unit holds La at (0.000, 0.000, 0.000), Be at (0.500, 0.500, 0.270), Pt at (0.000, 0.500, 0.479) and Pt at (0.500, 0.500, 0.847).



B:
DFT (GGA-PBE) results for LaBePt3 after structural relaxation.

It has space group R-3c (No. 167, hexagonal axes), with a = 7.6958 Å, b = 7.6958 Å, c = 10.9347 Å, α = 90.00°, β = 90.00° and γ = 120.00°. The asymmetric unit holds La at (0.0000, 0.0000, 0.0000), Be at (0.0000, 0.0000, 0.2500) and Pt at (0.0000, 0.2741, 0.2500).



Which structure is the least stable? The one labeled B.



A:
DFT (GGA-PBE) results for LaBePt3 after structural relaxation.

It has space group P6_3/mmc (No. 194), with a = 3.8915 Å, b = 3.8915 Å, c = 15.7853 Å, α = 90.00°, β = 90.00° and γ = 120.00°. The asymmetric unit holds La at (0.0000, 0.0000, 0.0000), Be at (0.3333, 0.6667, 0.2500), Pt at (0.0000, 0.0000, 0.2500) and Pt at (0.3333, 0.6667, 0.1147).



B:
DFT (GGA-PBE) results for LaBePt3 after structural relaxation.

It has space group Amm2 (No. 38), with a = 4.407 Å, b = 6.863 Å, c = 5.890 Å, α = 90.00°, β = 90.00° and γ = 90.00°. The asymmetric unit holds La at (0.000, 0.000, 0.000), Be at (0.500, 0.000, 0.601), Pt at (0.000, 0.000, 0.497) and Pt at (0.500, 0.217, 0.287).



Which structure is the least stable? The one labeled A.



A:
DFT (GGA-PBE) results for LaBePt3 after structural relaxation.

It has space group R3m (No. 160, hexagonal axes), with a = 5.4895 Å, b = 5.4895 Å, c = 14.8036 Å, α = 90.00°, β = 90.00° and γ = 120.00°. The asymmetric unit holds La at (0.0000, 0.0000, 0.0000), Be at (0.0000, 0.0000, 0.2585) and Pt at (0.0107, 0.5053, 0.4951).



B:
DFT (GGA-PBE) results for LaBePt3 after structural relaxation.

It has space group P4mm (No. 99), with a = 4.217 Å, b = 4.217 Å, c = 6.519 Å, α = 90.00°, β = 90.00° and γ = 90.00°. The asymmetric unit holds La at (0.000, 0.000, 0.000), Be at (0.500, 0.500, 0.235), Pt at (0.000, 0.000, 0.617) and Pt at (0.000, 0.500, 0.343).



C:
DFT (GGA-PBE) results for LaBePt3 after structural relaxation.

It has space group Pnma (No. 62), with a = 5.732 Å, b = 10.802 Å, c = 6.019 Å, α = 90.00°, β = 90.00° and γ = 90.00°. The asymmetric unit holds La at (0.000, 0.000, 0.000), Be at (0.217, 0.250, 0.200), Pt at (0.007, 0.122, 0.443) and Pt at (0.201, 0.250, 0.791).



Which structure is the least stable? The one labeled A.



A:
DFT (GGA-PBE) results for LaBePt after structural relaxation.

It has space group P-1 (No. 2), with a = 3.920 Å, b = 5.817 Å, c = 6.116 Å, α = 94.46°, β = 108.59° and γ = 109.29°. The asymmetric unit holds La at (0.237, 0.177, 0.289), Be at (0.367, 0.650, 0.086) and Pt at (0.044, 0.375, 0.710).



B:
DFT (GGA-PBE) results for LaBePt after structural relaxation.

It has space group Immm (No. 71), with a = 4.020 Å, b = 7.574 Å, c = 8.116 Å, α = 90.00°, β = 90.00° and γ = 90.00°. The asymmetric unit holds La at (0.000, 0.000, 0.246), Be at (0.000, 0.343, 0.000) and Pt at (0.000, 0.308, 0.500).



C:
DFT (GGA-PBE) results for LaBePt after structural relaxation.

It has space group P2_13 (No. 198), with a = 6.285 Å, b = 6.285 Å, c = 6.285 Å, α = 90.00°, β = 90.00° and γ = 90.00°. The asymmetric unit holds La at (0.107, 0.107, 0.107), Be at (0.096, 0.596, 0.904) and Pt at (0.172, 0.328, 0.672).



D:
DFT (GGA-PBE) results for LaBePt after structural relaxation.

It has space group F-43m (No. 216), with a = 6.331 Å, b = 6.331 Å, c = 6.331 Å, α = 90.00°, β = 90.00° and γ = 90.00°. The asymmetric unit holds La at (0.000, 0.000, 0.000), Be at (0.250, 0.250, 0.750) and Pt at (0.000, 0.000, 0.500).



Which structure is the least stable? The one labeled D.



A:
DFT (GGA-PBE) results for LaBePt after structural relaxation.

It has space group F-43m (No. 216), with a = 6.594 Å, b = 6.594 Å, c = 6.594 Å, α = 90.00°, β = 90.00° and γ = 90.00°. The asymmetric unit holds La at (0.000, 0.000, 0.000), Be at (0.000, 0.000, 0.500) and Pt at (0.250, 0.250, 0.250).



B:
DFT (GGA-PBE) results for LaBePt after structural relaxation.

It has space group P-6m2 (No. 187), with a = 4.1265 Å, b = 4.1265 Å, c = 4.1670 Å, α = 90.00°, β = 90.00° and γ = 120.00°. The asymmetric unit holds La at (0.0000, 0.0000, 0.0000), Be at (0.3333, 0.6667, 0.5000) and Pt at (0.6667, 0.3333, 0.5000).



C:
DFT (GGA-PBE) results for LaBePt after structural relaxation.

It has space group I4mm (No. 107), with a = 3.237 Å, b = 3.237 Å, c = 10.797 Å, α = 90.00°, β = 90.00° and γ = 90.00°. The asymmetric unit holds La at (0.000, 0.000, 0.000), Be at (0.000, 0.000, 0.282) and Pt at (0.000, 0.000, 0.710).



Which structure is the least stable? The one labeled A.



A:
DFT (GGA-PBE) results for LaBePt after structural relaxation.

It has space group Cmme (No. 67), with a = 5.462 Å, b = 6.662 Å, c = 6.527 Å, α = 90.00°, β = 90.00° and γ = 90.00°. The asymmetric unit holds La at (0.000, 0.250, 0.163), Be at (0.250, 0.000, 0.500) and Pt at (0.000, 0.250, 0.662).



B:
DFT (GGA-PBE) results for LaBePt after structural relaxation.

It has space group F-43m (No. 216), with a = 6.774 Å, b = 6.774 Å, c = 6.774 Å, α = 90.00°, β = 90.00° and γ = 90.00°. The asymmetric unit holds La at (0.000, 0.000, 0.000), Be at (0.250, 0.250, 0.750) and Pt at (0.250, 0.250, 0.250).



Which structure is the least stable? The one labeled B.



A:
DFT (GGA-PBE) results for LaBe2Pt2 after structural relaxation.

It has space group I4/mmm (No. 139), with a = 4.043 Å, b = 4.043 Å, c = 10.346 Å, α = 90.00°, β = 90.00° and γ = 90.00°. The asymmetric unit holds La at (0.000, 0.000, 0.000), Be at (0.000, 0.500, 0.250) and Pt at (0.000, 0.000, 0.362).



B:
DFT (GGA-PBE) results for LaBe2Pt2 after structural relaxation.

It has space group P4/mbm (No. 127), with a = 7.427 Å, b = 7.427 Å, c = 3.026 Å, α = 90.00°, β = 90.00° and γ = 90.00°. The asymmetric unit holds La at (0.000, 0.000, 0.000), Be at (0.114, 0.386, 0.500) and Pt at (0.140, 0.640, 0.000).



C:
DFT (GGA-PBE) results for LaBe2Pt2 after structural relaxation.

It has space group P4/mbm (No. 127), with a = 7.420 Å, b = 7.420 Å, c = 2.851 Å, α = 90.00°, β = 90.00° and γ = 90.00°. The asymmetric unit holds La at (0.000, 0.000, 0.000), Be at (0.107, 0.393, 0.000) and Pt at (0.165, 0.665, 0.500).



Which structure is the least stable? The one labeled B.



A:
DFT (GGA-PBE) results for RbLaBeRh2 after structural relaxation.

It has space group P4/mmm (No. 123), with a = 4.545 Å, b = 4.545 Å, c = 4.928 Å, α = 90.00°, β = 90.00° and γ = 90.00°. The asymmetric unit holds Rb at (0.000, 0.000, 0.000), La at (0.500, 0.500, 0.000), Be at (0.000, 0.000, 0.500) and Rh at (0.000, 0.500, 0.500).



B:
DFT (GGA-PBE) results for RbLaBeRh2 after structural relaxation.

It has space group P4/mmm (No. 123), with a = 4.540 Å, b = 4.540 Å, c = 5.098 Å, α = 90.00°, β = 90.00° and γ = 90.00°. The asymmetric unit holds Rb at (0.000, 0.000, 0.000), La at (0.500, 0.500, 0.000), Be at (0.500, 0.500, 0.500) and Rh at (0.000, 0.500, 0.500).



Which structure is the least stable? The one labeled B.



A:
DFT (GGA-PBE) results for LaBe2Re after structural relaxation.

It has space group R-3m (No. 166, hexagonal axes), with a = 3.9931 Å, b = 3.9931 Å, c = 15.2160 Å, α = 90.00°, β = 90.00° and γ = 120.00°. The asymmetric unit holds La at (0.0000, 0.0000, 0.0000), Be at (0.0000, 0.0000, 0.1922) and Re at (0.0000, 0.0000, 0.5000).



B:
DFT (GGA-PBE) results for LaBe2Re after structural relaxation.

It has space group Pm (No. 6), with a = 3.321 Å, b = 3.418 Å, c = 6.025 Å, α = 90.00°, β = 105.78° and γ = 90.00°. The asymmetric unit holds La at (0.000, 0.000, 0.000), Be at (0.248, 0.000, 0.489), Be at (0.347, 0.500, 0.690) and Re at (0.714, 0.500, 0.421).



Which structure is the least stable? The one labeled B.



A:
DFT (GGA-PBE) results for LaBe3Re after structural relaxation.

It has space group Pm-3m (No. 221), with a = 4.496 Å, b = 4.496 Å, c = 4.496 Å, α = 90.00°, β = 90.00° and γ = 90.00°. The asymmetric unit holds La at (0.000, 0.000, 0.000), Be at (0.000, 0.000, 0.500) and Re at (0.500, 0.500, 0.500).



B:
DFT (GGA-PBE) results for LaBe3Re after structural relaxation.

It has space group Pm-3m (No. 221), with a = 4.416 Å, b = 4.416 Å, c = 4.416 Å, α = 90.00°, β = 90.00° and γ = 90.00°. The asymmetric unit holds La at (0.000, 0.000, 0.000), Be at (0.000, 0.500, 0.500) and Re at (0.500, 0.500, 0.500).



Which structure is the least stable? The one labeled A.